No. 1
Compound: Tm2Ta2O5
Source: OQMD via LeMat-Bulk
Functional: PBE
Structure: relaxed

abc: 3.971 3.971 7.103
angles: 90.00 90.00 90.00
Space group P4/mmm (No. 123)
Asymmetric unit:
Tm  0.000  0.000  0.000 (multiplicity 1)
Tm  0.000  0.000  0.500 (multiplicity 1)
Ta  0.500  0.500  0.195 (multiplicity 2)
O  0.000  0.500  0.260 (multiplicity 4)
O  0.500  0.500  0.500 (multiplicity 1)

Properties
Energy above the most stable polymorph in this dataset ... 0.0 meV/atom
Calculated volume ... 12.442 Å³ per atom
Crystal system ... tetragonal
Mass density ... 11.563 g/cm3


No. 2
Compound: LuFeBAu
Source: OQMD via LeMat-Bulk
Functional: PBE
Structure: relaxed

abc: 6.246 6.246 6.246
angles: 90.00 90.00 90.00
Space group F-43m (No. 216)
Asymmetric unit:
Lu  0.000  0.000  0.000 (multiplicity 4)
Fe  0.250  0.250  0.750 (multiplicity 4)
B  0.000  0.000  0.500 (multiplicity 4)
Au  0.250  0.250  0.250 (multiplicity 4)

Properties
Energy above the most stable polymorph in this dataset ... 237.0 meV/atom
Calculated volume ... 15.227 Å³ per atom
Crystal system ... cubic
Mass density ... 11.957 g/cm3


No. 3
Compound: Tm3ZnIn2CuIr2
Source: OQMD via LeMat-Bulk
Functional: PBE
Structure: relaxed

abc: 3.792 12.854 7.383
angles: 90.00 90.00 90.00
Space group Amm2 (No. 38)
Asymmetric unit:
Tm  0.000  0.000  0.000 (multiplicity 2)
Tm  0.000  0.203  0.365 (multiplicity 4)
Zn  0.500  0.000  0.317 (multiplicity 2)
In  0.500  0.124  0.698 (multiplicity 4)
Cu  0.000  0.000  0.555 (multiplicity 2)
Ir  0.500  0.166  0.076 (multiplicity 4)

Properties
Calculated volume ... 19.992 Å³ per atom
Crystal system ... orthorhombic
Mass density ... 11.534 g/cm3
E_tot ... -0.193 Ha/atom


No. 4
Compound: ZnFePdW
Source: OQMD via LeMat-Bulk
Functional: PBE
Structure: relaxed

abc: 6.137 6.137 6.137
angles: 90.00 90.00 90.00
Space group F-43m (No. 216)
Asymmetric unit:
Zn  0.000  0.000  0.000 (multiplicity 4)
Fe  0.250  0.250  0.250 (multiplicity 4)
Pd  0.000  0.000  0.500 (multiplicity 4)
W  0.250  0.250  0.750 (multiplicity 4)

Properties
Energy above the most stable polymorph in this dataset ... 196.6 meV/atom
Calculated volume ... 14.446 Å³ per atom
Crystal system ... cubic
Mass density ... 11.826 g/cm3
ΔE_f ... 0.35 eV per atom


No. 5
Compound: Tl2HgPdF6
Source: OQMD via LeMat-Bulk
Functional: PBE
Structure: relaxed

abc: 8.665 8.665 8.665
angles: 90.00 90.00 90.00
Space group Fm-3m (No. 225)
Asymmetric unit:
Tl  0.250  0.250  0.250 (multiplicity 8)
Hg  0.000  0.000  0.000 (multiplicity 4)
Pd  0.000  0.000  0.500 (multiplicity 4)
F  0.000  0.000  0.260 (multiplicity 24)

Properties
Calculated volume ... 16.263 Å³ per atom
Crystal system ... cubic
Mass density ... 8.472 g/cm3
E_tot ... -0.132 Ha/atom


No. 6
Compound: SmTmFe8B2
Source: OQMD via LeMat-Bulk
Functional: PBE
Structure: relaxed

abc: 5.0667 5.0667 7.0278
angles: 90.00 90.00 120.00
Space group P6/mmm (No. 191)
Asymmetric unit:
Sm  0.0000  0.0000  0.0000 (multiplicity 1)
Tm  0.0000  0.0000  0.5000 (multiplicity 1)
Fe  0.0000  0.5000  0.2885 (multiplicity 6)
Fe  0.3333  0.6667  0.0000 (multiplicity 2)
B  0.3333  0.6667  0.5000 (multiplicity 2)

Properties
Energy above the most stable polymorph in this dataset ... 0.0 meV/atom
Calculated volume ... 13.020 Å³ per atom
Crystal system ... hexagonal
Mass density ... 8.371 g/cm3


No. 7
Compound: Zr3Al3Cu2Pt
Source: OQMD via LeMat-Bulk
Functional: PBE
Structure: relaxed

abc: 6.6748 6.6748 4.0015
angles: 90.00 90.00 120.00
Space group P-62m (No. 189)
Asymmetric unit:
Zr  0.0000  0.4203  0.0000 (multiplicity 3)
Al  0.0000  0.7495  0.5000 (multiplicity 3)
Cu  0.3333  0.6667  0.5000 (multiplicity 2)
Pt  0.0000  0.0000  0.0000 (multiplicity 1)

Properties
Calculated volume ... 17.155 Å³ per atom
Crystal system ... hexagonal
Mass density ... 7.279 g/cm3
E_tot ... -0.229 Ha/atom


No. 8
Compound: HoScNb2Ge2
Source: OQMD via LeMat-Bulk
Functional: PBE
Structure: relaxed

abc: 3.981 3.981 7.666
angles: 90.00 90.00 90.00
Space group P4mm (No. 99)
Asymmetric unit:
Ho  0.000  0.000  0.000 (multiplicity 1)
Sc  0.500  0.500  0.294 (multiplicity 1)
Nb  0.000  0.500  0.640 (multiplicity 2)
Ge  0.000  0.000  0.387 (multiplicity 1)
Ge  0.500  0.500  0.895 (multiplicity 1)

Properties
Calculated volume ... 20.248 Å³ per atom
Crystal system ... tetragonal
Mass density ... 7.394 g/cm3
E_tot ... -0.270 Ha/atom


No. 9
Compound: Ta2IrO4
Source: OQMD via LeMat-Bulk
Functional: PBE
Structure: relaxed

abc: 8.880 8.880 8.880
angles: 90.00 90.00 90.00
Space group Fd-3m (No. 227, origin choice 2)
Asymmetric unit:
Ta  0.000  0.000  0.000 (multiplicity 16)
Ir  0.125  0.125  0.625 (multiplicity 8)
O  0.015  0.015  0.235 (multiplicity 32)

Properties
Calculated volume ... 12.503 Å³ per atom
Crystal system ... cubic
Mass density ... 11.727 g/cm3
E_tot ... -0.319 Ha/atom


No. 10
Compound: SmDyInNi2
Source: OQMD via LeMat-Bulk
Functional: PBE
Structure: relaxed

abc: 3.701 3.930 14.442
angles: 90.00 90.00 90.00
Space group Amm2 (No. 38)
Asymmetric unit:
Sm  0.000  0.000  0.000 (multiplicity 2)
Dy  0.000  0.000  0.724 (multiplicity 2)
In  0.500  0.000  0.360 (multiplicity 2)
Ni  0.500  0.000  0.164 (multiplicity 2)
Ni  0.500  0.000  0.566 (multiplicity 2)

Properties
Calculated volume ... 21.004 Å³ per atom
Crystal system ... orthorhombic
Mass density ... 8.618 g/cm3
E_tot ... -0.189 Ha/atom


No. 11
Compound: MgRe2B
Source: OQMD via LeMat-Bulk
Functional: PBE
Structure: relaxed

abc: 5.941 5.941 5.941
angles: 90.00 90.00 90.00
Space group F-43m (No. 216)
Asymmetric unit:
Mg  0.000  0.000  0.000 (multiplicity 4)
Re  0.000  0.000  0.500 (multiplicity 4)
Re  0.250  0.250  0.250 (multiplicity 4)
B  0.250  0.250  0.750 (multiplicity 4)

Properties
Calculated volume ... 13.103 Å³ per atom
Crystal system ... cubic
Mass density ... 12.912 g/cm3
E_tot ... -0.283 Ha/atom


No. 12
Compound: Al6Co7
Source: OQMD via LeMat-Bulk
Functional: PBE
Structure: relaxed

abc: 4.7792 4.7792 24.6020
angles: 90.00 90.00 120.00
Space group R-3m (No. 166, hexagonal axes)
Asymmetric unit:
Al  0.0000  0.0000  0.0516 (multiplicity 6)
Al  0.0000  0.0000  0.1555 (multiplicity 6)
Al  0.0000  0.0000  0.3345 (multiplicity 6)
Co  0.0000  0.0000  0.5000 (multiplicity 3)
Co  0.0054  0.5027  0.9119 (multiplicity 18)

Properties
Energy above the most stable polymorph in this dataset ... 0.0 meV/atom
Calculated volume ... 12.478 Å³ per atom
Crystal system ... trigonal
Mass density ... 5.880 g/cm3